Entry 1:
OsAu2Se (PBE, relaxed); space group = P2/m, No. 10; density of states at the Fermi level = 3.624 states/eV/f.u.
1.0
5.2694 0.0085 -0.0202
-2.9931 5.5692 0.0017
0.0073 1.3235 2.3687
Au Os Se
2 1 1
Direct
0.0000 0.0000 0.0000
0.0000 0.5000 0.5000
0.5000 0.5000 0.0000
0.5000 0.0000 0.5000


Entry 2:
OsAu2Se (PBE, relaxed); space group = Imm2, No. 44; density of states at the Fermi level = 1.877 states/eV/f.u.
1.0
6.5374 0.0310 -0.0018
4.2672 4.9527 0.0018
-4.9362 -3.5024 2.4710
Au Os Se
2 1 1
Direct
0.0217 0.0217 0.0000
0.6814 0.1814 0.5000
0.4780 0.4780 0.0000
0.3188 0.8188 0.5000


Entry 3:
OsAu2Se (PBE, relaxed); space group = Pm, No. 6; density of states at the Fermi level = 2.815 states/eV/f.u.
1.0
-2.7394 -0.2982 1.2751
-1.1341 -0.4588 -2.5439
1.3934 -8.6482 0.9709
Au Os Se
2 1 1
Direct
0.0000 0.7475 0.0322
0.5000 0.2487 0.2684
0.0000 0.7508 0.4953
0.5000 0.7530 0.7040


Entry 4:
OsAuSe (PBE, relaxed); offset from the most stable computed form = 14.2 meV per atom; space group = I4mm, No. 107; density of states at the Fermi level = 1.710 states/eV/f.u.
1.0
6.6668 0.0177 0.0000
5.3192 4.0191 0.0000
-5.9930 -2.0184 2.1111
Au Os Se
1 1 1
Direct
0.9745 0.9745 0.0000
0.3166 0.3166 0.0000
0.7089 0.7089 0.0000


Entry 5:
OsAu2Se (PBE, relaxed); space group = I-42d, No. 122; density of states at the Fermi level = 3.874 states/eV/f.u.
1.0
7.5327 0.0000 0.0000
0.0000 7.5327 0.0000
3.7664 3.7664 2.6336
Os Au Se
2 4 2
Direct
0.0000 0.0000 0.0000
0.7500 0.2500 0.5000
0.6266 0.1250 0.2500
0.1234 0.6250 0.2500
0.3750 0.3734 0.7500
0.8750 0.8766 0.7500
0.5000 0.5000 0.0000
0.2500 0.7500 0.5000


Entry 6:
OsAuSe (PBE, relaxed); offset from the most stable computed form = 322.2 meV per atom; space group = P-6m2, No. 187; density of states at the Fermi level = 1.845 states/eV/f.u.
1.0
4.2030 0.0000 0.0000
-2.1015 3.6399 0.0000
0.0000 0.0000 3.4479
Au Os Se
1 1 1
Direct
0.0000 0.0000 0.0001
0.6667 0.3333 0.4997
0.3333 0.6667 0.5002


Entry 7:
OsAuSe (PBE, relaxed); offset from the most stable computed form = 262.3 meV per atom; space group = Fmm2, No. 42; density of states at the Fermi level = 3.378 states/eV/f.u.
1.0
8.0746 -0.0062 0.0037
7.2747 2.8066 -0.0077
0.7999 -1.3268 2.4802
Au Os Se
1 1 1
Direct
0.9822 0.9822 0.0178
0.3226 0.3226 0.6774
0.6952 0.6952 0.3048


Entry 8:
Si2OsAuSe (PBE, relaxed); space group = P4/mmm, No. 123; density of states at the Fermi level = 4.884 states/eV/f.u.
1.0
-4.1644 1.4297 -1.5163
0.8774 -2.2342 -4.5164
-1.9249 -3.9374 1.5739
Os Si Au Se
1 2 1 1
Direct
0.5000 0.5000 0.5000
0.0000 0.0000 0.5000
0.5000 0.0000 0.0000
0.0000 0.0000 0.0000
0.0000 0.5000 0.0000


Entry 9:
Th4OsAu2Se (PBE, relaxed); space group = P2/m, No. 10; density of states at the Fermi level = 9.495 states/eV/f.u.
1.0
-2.4389 2.1883 -2.5925
-5.6714 -4.6855 1.3804
-0.2760 5.5890 4.9774
Th Os Au Se
4 1 2 1
Direct
0.5000 0.2660 0.2313
0.5000 0.7340 0.7687
0.0000 0.2755 0.7730
0.0000 0.7245 0.2270
0.5000 0.5000 0.0000
0.5000 0.0000 0.5000
0.0000 0.5000 0.5000
0.0000 0.0000 0.0000


Entry 10:
Th6Os3AuSe2 (PBE, relaxed); space group = C2/m, No. 12; density of states at the Fermi level = 6.890 states/eV/f.u.
1.0
4.1424 0.0000 0.0000
0.0000 8.6922 0.1211
-2.0712 -2.7058 8.9835
Th Os Au Se
6 3 1 2
Direct
0.3239 0.9304 0.6478
0.6584 0.6093 0.3169
0.6761 0.0696 0.3522
0.9946 0.2725 0.9893
0.0054 0.7275 0.0107
0.3416 0.3907 0.6831
0.5000 0.5000 0.0000
0.8331 0.1626 0.6661
0.1669 0.8374 0.3339
0.5000 0.0000 0.0000
0.8300 0.6569 0.6600
0.1700 0.3431 0.3400


Entry 11:
Th4OsAuSe2 (PBE, relaxed); space group = P2/m, No. 10; density of states at the Fermi level = 6.638 states/eV/f.u.
1.0
4.1943 0.0000 0.0000
0.0000 7.6750 -0.3219
0.0000 2.5421 6.7793
Th Os Au Se
4 1 1 2
Direct
0.0000 0.7235 0.7711
0.0000 0.2765 0.2289
0.5000 0.7322 0.2357
0.5000 0.2678 0.7643
0.5000 0.5000 0.0000
0.0000 0.5000 0.5000
0.0000 0.0000 0.0000
0.5000 0.0000 0.5000


Entry 12:
Th6Os2AuSe3 (PBE, relaxed); space group = C2/m, No. 12; density of states at the Fermi level = 9.340 states/eV/f.u.
1.0
7.2238 0.0003 -0.0007
-3.6099 6.2571 -0.0007
-1.2060 -2.0881 7.3466
Th Os Au Se
6 2 1 3
Direct
0.9262 0.5728 0.7786
0.7204 0.7204 0.2207
0.0738 0.4272 0.2214
0.5728 0.9262 0.7786
0.2796 0.2796 0.7793
0.4272 0.0738 0.2214
0.3330 0.6670 0.0000
0.6670 0.3330 0.0000
0.0000 0.0000 0.0000
0.1627 0.8373 0.5000
0.8373 0.1627 0.5000
0.5000 0.5000 0.5000


no.,calculated total energy (eV/atom),total moment (μB per atom)
1,-4.5848,0.00
2,-4.9053,0.00
3,-4.9326,0.00
4,-5.5979,0.00
5,-4.4924,0.42
6,-5.2899,0.00
7,-5.3498,0.00
8,-4.0881,0.34
9,-7.1271,0.00
10,-8.2072,0.00
11,-7.4162,0.00
12,-7.7658,0.00